Run P
An optimized crystal structure of Y4HoIn2. Source: the Alexandria database, functional GGA-PBE.

Values from the calculation:
ρ   5.7 g cm⁻³

```
Y4HoIn2
1.0
-4.096 -2.000 -2.757
5.730 -2.845 -6.450
0.949 -7.925 4.339
Y Ho In
8 2 4
Direct
0.000 0.074 0.329
0.000 0.926 0.671
0.500 0.171 0.574
0.500 0.829 0.426
0.500 0.426 0.829
0.500 0.574 0.171
0.000 0.329 0.074
0.000 0.671 0.926
0.500 0.000 0.000
0.000 0.500 0.500
0.000 0.257 0.743
0.000 0.743 0.257
0.500 0.757 0.757
0.500 0.243 0.243
```

=====

Run Q
An optimized crystal structure of Y4HoIn2. Source: the Alexandria database, functional GGA-PBE.

Values from the calculation:
ρ   5.8 g cm⁻³

```
Y4HoIn2
1.0
10.653 0.000 0.000
0.000 6.512 -2.453
0.000 -0.393 6.351
Y Ho In
8 2 4
Direct
0.833 0.500 0.000
0.718 0.500 0.500
0.782 0.000 0.500
0.667 0.000 0.000
0.333 0.000 0.000
0.218 0.000 0.500
0.282 0.500 0.500
0.167 0.500 0.000
0.000 0.000 0.000
0.500 0.500 0.000
0.000 0.692 0.466
0.000 0.308 0.534
0.500 0.808 0.534
0.500 0.192 0.466
```

=====

Most stable to least stable, the ends of the list are run P and run Q.

=====

Run P
An optimized crystal structure of Y3Ho6In. Source: the Alexandria database, functional GGA-PBE.

Values from the calculation:
ρ   7.4 g cm⁻³

```
Y3Ho6In
1.0
5.538 0.000 0.000
0.000 8.961 -3.526
0.000 -0.693 12.693
Y Ho In
6 12 2
Direct
0.750 0.848 0.373
0.250 0.152 0.627
0.750 0.380 0.779
0.250 0.620 0.221
0.750 0.201 0.974
0.250 0.799 0.026
0.750 0.609 0.070
0.250 0.391 0.930
0.750 0.023 0.175
0.250 0.977 0.825
0.750 0.976 0.671
0.250 0.024 0.329
0.750 0.250 0.488
0.250 0.750 0.512
0.750 0.452 0.298
0.250 0.548 0.702
0.750 0.787 0.861
0.250 0.213 0.139
0.750 0.615 0.584
0.250 0.385 0.416
```

=====

Run Q
An optimized crystal structure of Y3Ho6In. Source: the Alexandria database, functional GGA-PBE.

Values from the calculation:
ρ   7.4 g cm⁻³

```
Y3Ho6In
1.0
3.537 0.000 0.000
0.000 12.701 -1.891
0.000 -6.233 14.715
Y Ho In
6 12 2
Direct
0.750 0.387 0.896
0.250 0.613 0.104
0.750 0.621 0.497
0.250 0.379 0.503
0.750 0.125 0.094
0.250 0.875 0.906
0.750 0.596 0.711
0.250 0.404 0.289
0.750 0.859 0.106
0.250 0.141 0.894
0.750 0.381 0.099
0.250 0.619 0.901
0.750 0.664 0.308
0.250 0.336 0.692
0.750 0.113 0.477
0.250 0.887 0.523
0.750 0.883 0.716
0.250 0.117 0.284
0.750 0.120 0.696
0.250 0.880 0.304
```

=====

Most stable to least stable, the ends of the list are run P and run Q.

=====

Run P
An optimized crystal structure of YHo4In2. Source: the Alexandria database, functional GGA-PBE.

Values from the calculation:
ρ   7.6 g cm⁻³

```
YHo4In2
1.0
10.665 0.000 0.000
0.000 6.124 -3.016
0.000 -0.729 6.875
Y Ho In
2 8 4
Direct
0.000 0.000 0.000
0.500 0.500 0.000
0.831 0.459 0.936
0.765 0.454 0.418
0.735 0.954 0.418
0.669 0.959 0.936
0.331 0.041 0.064
0.265 0.046 0.582
0.235 0.546 0.582
0.169 0.541 0.064
0.988 0.758 0.466
0.012 0.242 0.534
0.488 0.742 0.534
0.512 0.258 0.466
```

=====

Run Q
An optimized crystal structure of YHo4In2. Source: the Alexandria database, functional GGA-PBE.

Values from the calculation:
ρ   7.6 g cm⁻³

```
YHo4In2
1.0
-3.108 -3.593 0.854
4.277 -5.251 -6.524
5.786 -3.444 6.565
Y Ho In
2 8 4
Direct
0.500 0.000 0.000
0.000 0.500 0.500
0.000 0.114 0.358
0.000 0.886 0.642
0.500 0.142 0.614
0.500 0.858 0.386
0.500 0.386 0.858
0.500 0.614 0.142
0.000 0.358 0.114
0.000 0.642 0.886
0.000 0.167 0.833
0.000 0.833 0.167
0.500 0.667 0.667
0.500 0.333 0.333
```

=====

Most stable to least stable, the ends of the list are run Q and run P.

=====

Run P
An optimized crystal structure of Y3HoIn. Source: the Alexandria database, functional GGA-PBE.

Values from the calculation:
ρ   6.2 g cm⁻³

```
Y3HoIn
1.0
4.715 0.000 1.077
0.000 4.835 0.000
-0.438 0.000 12.773
Y Ho In
6 2 2
Direct
0.771 0.250 0.107
0.375 0.250 0.899
0.574 0.250 0.499
0.274 0.750 0.101
0.878 0.750 0.893
0.074 0.750 0.501
0.475 0.750 0.699
0.174 0.250 0.301
0.672 0.750 0.305
0.977 0.250 0.695
```

=====

Run Q
An optimized crystal structure of Y3HoIn. Source: the Alexandria database, functional GGA-PBE.

Values from the calculation:
ρ   5.5 g cm⁻³

```
Y3HoIn
1.0
7.127 0.000 0.000
3.563 6.172 0.000
3.563 2.057 7.460
Y Ho In
6 2 2
Direct
0.390 0.896 0.324
0.896 0.390 0.324
0.390 0.390 0.324
0.610 0.610 0.676
0.104 0.610 0.676
0.610 0.104 0.676
0.087 0.087 0.738
0.913 0.913 0.262
0.334 0.334 0.999
0.666 0.666 0.001
```

=====

Most stable to least stable, the ends of the list are run P and run Q.

=====

Run P
An optimized crystal structure of Y5Ho4In. Source: the Alexandria database, functional GGA-PBE.

Values from the calculation:
ρ   6.6 g cm⁻³

```
Y5Ho4In
1.0
3.556 0.000 0.000
0.000 3.556 0.000
0.000 0.000 24.365
Y Ho In
5 4 1
Direct
0.500 0.500 0.087
0.500 0.500 0.294
0.500 0.500 0.500
0.500 0.500 0.706
0.500 0.500 0.913
0.000 0.000 0.190
0.000 0.000 0.397
0.000 0.000 0.603
0.000 0.000 0.810
0.000 0.000 0.000
```

=====

Run Q
An optimized crystal structure of Y5Ho4In. Source: the Alexandria database, functional GGA-PBE.

Values from the calculation:
ρ   6.6 g cm⁻³

```
Y5Ho4In
1.0
6.612 0.319 0.209
3.472 5.627 -0.405
3.576 -0.493 8.688
Y Ho In
5 4 1
Direct
0.722 0.481 0.858
0.353 0.853 0.642
0.586 0.136 0.343
0.145 0.534 0.147
0.762 0.954 0.953
0.367 0.321 0.755
0.980 0.721 0.550
0.941 0.257 0.458
0.515 0.683 0.245
0.140 0.061 0.048
```

=====

Most stable to least stable, the ends of the list are run Q and run P.

=====

Run P
An optimized crystal structure of Y6Ho8In. Source: the Alexandria database, functional GGA-PBE.

Values from the calculation:
ρ   6.9 g cm⁻³

```
Y6Ho8In
1.0
-3.337 5.227 1.302
-7.256 -3.460 -4.706
0.882 -1.707 9.114
Y Ho In
6 8 1
Direct
0.680 0.642 0.092
0.680 0.908 0.550
0.680 0.450 0.358
0.320 0.358 0.908
0.320 0.092 0.450
0.320 0.550 0.642
0.815 0.040 0.266
0.815 0.734 0.774
0.815 0.226 0.960
0.185 0.960 0.734
0.185 0.266 0.226
0.185 0.774 0.040
0.817 0.333 0.667
0.183 0.667 0.333
0.500 0.000 0.000
```

=====

Run Q
An optimized crystal structure of Y6Ho8In. Source: the Alexandria database, functional GGA-PBE.

Values from the calculation:
ρ   7.0 g cm⁻³

```
Y6Ho8In
1.0
-7.437 -2.840 4.132
-0.216 -8.147 3.746
-0.332 -1.064 8.405
Y Ho In
6 8 1
Direct
0.450 0.894 0.886
0.106 0.230 0.114
0.230 0.550 0.114
0.770 0.450 0.886
0.894 0.770 0.886
0.550 0.106 0.114
0.253 0.285 0.571
0.715 0.108 0.429
0.108 0.747 0.429
0.576 0.576 0.273
0.424 0.424 0.727
0.892 0.253 0.571
0.285 0.892 0.571
0.747 0.715 0.429
0.000 0.000 0.000
```

=====

Most stable to least stable, the ends of the list are run Q and run P.

=====

Run P
An optimized crystal structure of Y2HoIn3. Source: the Alexandria database, functional GGA-PBE.

Values from the calculation:
ρ   7.2 g cm⁻³

```
Y2HoIn3
1.0
3.741 0.000 0.000
0.000 3.741 0.000
0.000 0.000 11.375
Y Ho In
2 1 3
Direct
0.500 0.500 0.832
0.500 0.500 0.168
0.500 0.500 0.500
0.000 0.000 0.000
0.000 0.000 0.665
0.000 0.000 0.335
```

=====

Run Q
An optimized crystal structure of Y2HoIn3. Source: the Alexandria database, functional GGA-PBE.

Values from the calculation:
ρ   7.0 g cm⁻³

```
Y2HoIn3
1.0
6.408 0.000 0.000
0.000 6.514 -0.102
-3.204 -1.750 7.794
Y Ho In
4 2 6
Direct
0.557 0.587 0.341
0.784 0.087 0.341
0.216 0.913 0.659
0.443 0.413 0.659
0.870 0.750 0.000
0.130 0.250 0.000
0.631 0.250 0.000
0.369 0.750 0.000
0.280 0.051 0.327
0.953 0.449 0.673
0.047 0.551 0.327
0.720 0.949 0.673
```

=====

Most stable to least stable, the ends of the list are run P and run Q.

=====

Run P
An optimized crystal structure of Y2Ho3In4. Source: the Alexandria database, functional GGA-PBE.

Values from the calculation:
ρ   7.2 g cm⁻³

```
Y2Ho3In4
1.0
-4.579 4.986 1.930
-0.677 -3.849 8.338
8.393 2.099 1.651
Y Ho In
4 6 8
Direct
0.111 0.570 0.221
0.889 0.430 0.779
0.389 0.070 0.779
0.611 0.930 0.221
0.000 0.000 0.000
0.500 0.500 0.000
0.536 0.750 0.572
0.964 0.250 0.428
0.464 0.250 0.428
0.036 0.750 0.572
0.726 0.750 0.952
0.774 0.250 0.048
0.274 0.250 0.048
0.226 0.750 0.952
0.188 0.962 0.377
0.812 0.038 0.623
0.312 0.462 0.623
0.688 0.538 0.377
```

=====

Run Q
An optimized crystal structure of Y2Ho3In4. Source: the Alexandria database, functional GGA-PBE.

Values from the calculation:
ρ   7.7 g cm⁻³

```
Y2Ho3In4
1.0
-1.876 0.030 4.913
1.578 -3.647 3.440
7.701 6.084 2.902
Y Ho In
2 3 4
Direct
0.333 0.334 0.777
0.667 0.666 0.223
0.333 0.333 0.426
0.000 0.000 0.000
0.667 0.667 0.574
0.666 0.667 0.899
0.000 0.000 0.346
0.000 0.000 0.654
0.334 0.333 0.101
```

=====

Most stable to least stable, the ends of the list are run Q and run P.